WF3 | the Alexandria database | PBE+U | relaxed; ΔE to the lowest computed polymorph = 60 meV/atom; symmetry = Fm-3m (225); calculated total energy = -18.79 eV per cell
1.0
0.000 2.762 2.762
2.762 0.000 2.762
2.762 2.762 0.000
W F
1 3
Direct
0.000 0.000 0.000
0.250 0.250 0.250
0.500 0.500 0.500
0.750 0.750 0.750